The following is a GGA-PBE calculation of a relaxed AuNF6 crystal, from the Open Quantum Materials Database.

Summary:
- Theoretical density: 5.61 Mg/m³
- Energy: -2.59 eV per atom
- Space group: No. 216

Lattice parameters (Å, degrees): 5.1415 5.1415 5.1415 60.00 60.00 60.00
Positions (direct):
Au (0.0000, 0.0000, 0.0000)
N (0.2500, 0.2500, 0.2500)
F (0.2625, 0.2625, 0.7375)
F (0.2625, 0.7375, 0.2625)
F (0.2625, 0.7375, 0.7375)
F (0.7375, 0.2625, 0.2625)
F (0.7375, 0.2625, 0.7375)
F (0.7375, 0.7375, 0.2625)